[1]
VASP calculation (PBE) on an optimized crystal structure of RbHoAgI5.

Properties
As for the calculated volume: 46.0 Å³ per atom. Its total energy is -3.135 eV/atom.

Cell: 8.5112 8.5112 11.4715 Å, 102.76 102.76 107.27°
Last column: nearest neighbours and their distance in Å.
Element x y z (fractional)
Ag 0.6898 0.3102 0.2500  4 I 2.84-2.89
Ag 0.3102 0.6898 0.7500  4 I 2.84-2.89
I 0.9236 0.0764 0.7500  2 Ho 3.05
I 0.2363 0.3710 0.5572  1 Ag 2.89, 1 Ho 3.03
I 0.7637 0.6290 0.4428  1 Ag 2.89, 1 Ho 3.03
I 0.6290 0.7637 0.9428  1 Ag 2.89, 1 Ho 3.03
I 0.0764 0.9236 0.2500  2 Ho 3.05
I 0.3710 0.2363 0.0572  1 Ag 2.89, 1 Ho 3.03
I 0.6863 0.0851 0.3995  1 Ag 2.84, 1 Ho 3.02
I 0.3137 0.9149 0.6005  1 Ag 2.84, 1 Ho 3.02
I 0.0851 0.6863 0.8995  1 Ag 2.84, 1 Ho 3.02
I 0.9149 0.3137 0.1005  1 Ag 2.84, 1 Ho 3.02
Rb 0.6451 0.3549 0.7500  5 I 3.70-3.82
Rb 0.3549 0.6451 0.2500  5 I 3.70-3.82
Ho 0.0000 0.0000 0.5000  6 I 3.02-3.05
Ho 0.0000 0.0000 0.0000  6 I 3.02-3.05

***

[2]
VASP calculation (PBE) on an optimized crystal structure of Ca3SbP.

Properties
As for the calculated volume: 31.6 Å³ per atom. The value obtained for the polymorph energy (0 for the lowest one) is 0.059 eV per atom.

Cell: 9.4070 4.5773 7.5792 Å, 89.99 92.68 75.93°
Last column: nearest neighbours and their distance in Å.
Element x y z (fractional)
Sb 0.3560 0.3296 0.6481  6 Ca 3.11-3.36
Sb 0.0406 0.9871 0.0694  7 Ca 3.06-3.35
Ca 0.5942 0.2100 0.3606  3 P 2.94, 1 Sb 3.15
Ca 0.8940 0.5603 0.2956  3 P 2.81-3.06
Ca 0.1876 0.9137 0.4482  1 P 3.00, 3 Sb 3.11
Ca 0.3497 0.8326 0.9282  1 P 2.76, 1 Sb 3.06
Ca 0.6978 0.1584 0.8917  3 P 2.99-3.05, 1 Sb 3.35
Ca 0.0087 0.5031 0.7784  2 P 3.03, 3 Sb 3.18-3.36
P 0.8770 0.0688 0.5626  7 Ca 2.94-3.06
P 0.6150 0.6997 0.1204  6 Ca 2.76-2.99

***

[3]
VASP calculation (PBE) on an optimized crystal structure of ZrScOs.

Properties
As for the calculated volume: 18.7 Å³ per atom. The value obtained for the polymorph energy (0 for the lowest one) is 0.031 eV per atom. The formation energy comes out at -0.2697 eV/atom.

Cell: 4.5335 4.5335 3.1563 Å, 90.00 90.00 120.00°
Last column: nearest neighbours and their distance in Å.
Element x y z (fractional)
Os 0.0000 0.0000 0.9961  3 Zr 2.77, 3 Sc 2.78
Zr 0.3333 0.6667 0.7084  3 Os 2.77, 3 Sc 2.92
Sc 0.6667 0.3333 0.2955  3 Os 2.78, 3 Zr 2.92

***

The highest calculated volume belongs to which entry? RbHoAgI5